(1)
Below is a geometry-optimized YHf2H structure, with properties calculated at the PBE-GGA level.

Lattice parameters (Å, degrees): 4.8966 4.8966 4.8966 60.00 60.00 60.00
Element x y z (fractional)
1 Y 0.5000 0.5000 0.5000
2 H 0.0000 0.0000 0.0000
3 Hf 0.2500 0.2500 0.2500
4 Hf 0.7500 0.7500 0.7500

## Properties
Total moment = 0.00 μB/f.u.
Total energy = -25.10 eV/cell
Polymorph energy (0 for the lowest one) = 1116.1 meV/atom



(2)
Below is a geometry-optimized Y2HfH2 structure, with properties calculated at the PBE-GGA level.

Lattice parameters (Å, degrees): 3.4017 3.4017 8.1838 78.00 78.00 90.00
Element x y z (fractional)
1 Y 0.3443 0.3443 0.3114
2 Y 0.6557 0.6557 0.6886
3 H 0.7500 0.2500 0.5000
4 H 0.2500 0.7500 0.5000
5 Hf 0.0000 0.0000 0.0000

## Properties
Total moment = 0.00 μB/f.u.
Total energy = -30.87 eV/cell
Polymorph energy (0 for the lowest one) = 0.0 meV/atom



(3)
Below is a geometry-optimized Y2HfH2 structure, with properties calculated at the PBE-GGA level.

Lattice parameters (Å, degrees): 8.0267 8.0267 2.9918 90.00 90.00 90.00
Last column: magnetic moment on the atom in μB.
Element x y z (fractional)
1 Y 0.3580 0.8580 0.0000  0.22
2 Y 0.8580 0.6420 0.0000  0.21
3 Y 0.6420 0.1420 0.0000  0.22
4 Y 0.1420 0.3580 0.0000  0.21
5 H 0.0913 0.5913 0.5000  0.00
6 H 0.5913 0.9087 0.5000  0.00
7 H 0.9087 0.4087 0.5000  0.00
8 H 0.4087 0.0913 0.5000  0.00
9 Hf 0.0000 0.0000 0.0000  0.49
10 Hf 0.5000 0.5000 0.0000  0.49

## Properties
Total moment = 1.37 μB/f.u.
Total energy = -53.78 eV/cell
Polymorph energy (0 for the lowest one) = 796.2 meV/atom



(4)
Below is a geometry-optimized YHf2ZrH structure, with properties calculated at the PBE-GGA level.

Lattice parameters (Å, degrees): 4.6184 4.6184 4.6177 90.00 90.00 90.00
Element x y z (fractional)
1 Y 0.5000 0.5000 0.5000
2 H 0.0000 0.0000 0.0000
3 Hf 0.0000 0.5000 0.0000
4 Hf 0.5000 0.0000 0.0000
5 Zr 0.0000 0.0000 0.5000

## Properties
Total moment = 0.00 μB/f.u.
Total energy = -38.19 eV/cell
Polymorph energy (0 for the lowest one) = 10.9 meV/atom



(5)
Below is a geometry-optimized YHf2ZrH structure, with properties calculated at the PBE-GGA level.

Lattice parameters (Å, degrees): 4.5612 4.5612 4.7455 90.00 90.00 90.00
Element x y z (fractional)
1 Y 0.0000 0.0000 0.5000
2 H 0.0000 0.0000 0.0000
3 Hf 0.0000 0.5000 0.0000
4 Hf 0.5000 0.0000 0.0000
5 Zr 0.5000 0.5000 0.5000

## Properties
Total moment = 0.00 μB/f.u.
Total energy = -38.24 eV/cell
Polymorph energy (0 for the lowest one) = 0.0 meV/atom



(6)
Below is a geometry-optimized Hf3ZnH3 structure, with properties calculated at the PBE-GGA level.

Lattice parameters (Å, degrees): 5.6470 5.6470 5.6470 90.00 90.00 90.00
Element x y z (fractional)
1 H 0.2500 0.0000 0.5000
2 H 0.0000 0.5000 0.2500
3 H 0.5000 0.7500 0.0000
4 H 0.7500 0.0000 0.5000
5 H 0.0000 0.5000 0.7500
6 H 0.5000 0.2500 0.0000
7 Zn 0.5000 0.5000 0.5000
8 Zn 0.0000 0.0000 0.0000
9 Hf 0.0000 0.2500 0.5000
10 Hf 0.0000 0.7500 0.5000
11 Hf 0.5000 0.0000 0.7500
12 Hf 0.7500 0.5000 0.0000
13 Hf 0.5000 0.0000 0.2500
14 Hf 0.2500 0.5000 0.0000

## Properties
Total moment = 0.00 μB/f.u.
Total energy = -86.14 eV/cell
Polymorph energy (0 for the lowest one) = 0.0 meV/atom



(7)
Below is a geometry-optimized Hf3ZnH3 structure, with properties calculated at the PBE-GGA level.

Lattice parameters (Å, degrees): 5.7138 5.7138 7.3985 67.29 67.29 60.00
Element x y z (fractional)
1 Hf 0.2239 0.5834 0.2853
2 Hf 0.9074 0.2239 0.2853
3 Hf 0.5834 0.9074 0.2853
4 Hf 0.4166 0.0926 0.7147
5 Hf 0.0926 0.7761 0.7147
6 Hf 0.7761 0.4166 0.7147
7 Zn 0.3339 0.3339 0.9982
8 Zn 0.6661 0.6661 0.0018
9 H 0.4770 0.7925 0.5937
10 H 0.7925 0.1368 0.5937
11 H 0.1368 0.4770 0.5937
12 H 0.8632 0.5230 0.4063
13 H 0.2075 0.8632 0.4063
14 H 0.5230 0.2075 0.4063

## Properties
Total moment = 0.00 μB/f.u.
Total energy = -85.08 eV/cell
Polymorph energy (0 for the lowest one) = 75.7 meV/atom



(8)
Below is a geometry-optimized Hf3ZnH structure, with properties calculated at the PBE-GGA level.

Lattice parameters (Å, degrees): 4.3407 4.3407 4.3407 90.00 90.00 90.00
Element x y z (fractional)
1 H 0.0000 0.0000 0.0000
2 Zn 0.5000 0.5000 0.5000
3 Hf 0.0000 0.5000 0.0000
4 Hf 0.0000 0.0000 0.5000
5 Hf 0.5000 0.0000 0.0000

## Properties
Total moment = 0.00 μB/f.u.
Total energy = -35.44 eV/cell
Polymorph energy (0 for the lowest one) = 0.0 meV/atom



(9)
Below is a geometry-optimized Hf6ZnH structure, with properties calculated at the PBE-GGA level.

Lattice parameters (Å, degrees): 5.0426 5.8338 5.6178 82.30 91.51 67.40
Element x y z (fractional)
1 Hf 0.0675 0.3705 0.7746
2 Hf 0.7649 0.9711 0.6574
3 Hf 0.6270 0.2421 0.1207
4 Hf 0.2351 0.0289 0.3426
5 Hf 0.9325 0.6295 0.2254
6 Hf 0.3730 0.7579 0.8793
7 Zn 0.5000 0.5000 0.5000
8 H 0.0000 0.0000 0.0000

## Properties
Total moment = 0.00 μB/f.u.
Total energy = -64.54 eV/cell



(10)
Below is a geometry-optimized Hf3ZnH structure, with properties calculated at the PBE-GGA level.

Lattice parameters (Å, degrees): 5.5673 8.7659 6.9880 89.99 90.00 90.00
Element x y z (fractional)
1 Hf 0.0000 0.2500 0.2500
2 Hf 0.0000 0.7500 0.7500
3 Hf 0.5000 0.2500 0.2500
4 Hf 0.5000 0.7500 0.7500
5 Hf 0.2500 0.5501 0.3919
6 Hf 0.7500 0.4499 0.6081
7 Hf 0.7500 0.9499 0.1081
8 Hf 0.2500 0.0501 0.8919
9 Hf 0.7500 0.0501 0.6081
10 Hf 0.2500 0.9499 0.3919
11 Hf 0.2500 0.4499 0.8918
12 Hf 0.7500 0.5501 0.1082
13 Zn 0.7500 0.7500 0.4123
14 Zn 0.2500 0.2500 0.5877
15 Zn 0.2500 0.7500 0.0877
16 Zn 0.7500 0.2500 0.9123
17 H 0.2500 0.2500 0.0368
18 H 0.7500 0.7500 0.9632
19 H 0.7500 0.2500 0.4632
20 H 0.2500 0.7500 0.5368

## Properties
Total moment = 0.00 μB/f.u.
Total energy = -140.34 eV/cell
Polymorph energy (0 for the lowest one) = 71.3 meV/atom



(11)
Below is a geometry-optimized Hf2ZnH3 structure, with properties calculated at the PBE-GGA level.

Lattice parameters (Å, degrees): 3.1991 5.7411 7.9489 110.25 90.00 106.18
Element x y z (fractional)
1 Hf 0.4829 0.9658 0.7983
2 Hf 0.5171 0.0342 0.2017
3 Hf 0.8362 0.6723 0.3907
4 Hf 0.1638 0.3277 0.6093
5 Zn 0.8237 0.6475 0.9381
6 Zn 0.1763 0.3525 0.0619
7 H 0.3303 0.6607 0.5522
8 H 0.9878 0.9756 0.6425
9 H 0.6414 0.2828 0.7363
10 H 0.3586 0.7172 0.2637
11 H 0.0122 0.0244 0.3575
12 H 0.6697 0.3393 0.4478

## Properties
Total moment = 0.00 μB/f.u.
Total energy = -66.85 eV/cell



(12)
Below is a geometry-optimized HfZn2H2 structure, with properties calculated at the PBE-GGA level.

Lattice parameters (Å, degrees): 5.5725 5.5725 4.0149 90.00 90.00 90.00
Element x y z (fractional)
1 H 0.3065 0.8065 0.0000
2 H 0.8065 0.6935 0.0000
3 H 0.6935 0.1935 0.0000
4 H 0.1935 0.3065 0.0000
5 Zn 0.2833 0.7833 0.5000
6 Zn 0.7833 0.7167 0.5000
7 Zn 0.7167 0.2167 0.5000
8 Zn 0.2167 0.2833 0.5000
9 Hf 0.0000 0.0000 0.0000
10 Hf 0.5000 0.5000 0.0000

## Properties
Total moment = 0.00 μB/f.u.
Total energy = -38.92 eV/cell



(13)
Below is a geometry-optimized HfZn3H structure, with properties calculated at the PBE-GGA level.

Lattice parameters (Å, degrees): 5.4181 5.4181 5.4181 90.00 90.00 90.00
Last column: magnetic moment on the atom in μB.
Element x y z (fractional)
1 H 0.5000 0.5000 0.5000  0.31
2 Zn 0.0000 0.5000 0.0000  -0.05
3 Zn 0.0000 0.0000 0.5000  -0.01
4 Zn 0.5000 0.0000 0.0000  -0.05
5 Hf 0.0000 0.0000 0.0000  -0.48

## Properties
Total moment = 0.27 μB/f.u.
Total energy = -10.24 eV/cell



(14)
Below is a geometry-optimized Hf2ZrZnH structure, with properties calculated at the PBE-GGA level.

Lattice parameters (Å, degrees): 4.3243 4.3243 4.4406 90.00 90.00 90.00
Element x y z (fractional)
1 H 0.0000 0.0000 0.0000
2 Zn 0.0000 0.0000 0.5000
3 Hf 0.0000 0.5000 0.0000
4 Hf 0.5000 0.0000 0.0000
5 Zr 0.5000 0.5000 0.5000

## Properties
Total moment = 0.00 μB/f.u.
Total energy = -33.68 eV/cell
Polymorph energy (0 for the lowest one) = 91.8 meV/atom



(15)
Below is a geometry-optimized Hf2ZrZnH structure, with properties calculated at the PBE-GGA level.

Lattice parameters (Å, degrees): 4.3522 4.3522 4.3734 90.00 90.00 90.00
Element x y z (fractional)
1 H 0.0000 0.0000 0.0000
2 Zn 0.5000 0.5000 0.5000
3 Hf 0.0000 0.5000 0.0000
4 Hf 0.5000 0.0000 0.0000
5 Zr 0.0000 0.0000 0.5000

## Properties
Total moment = 0.00 μB/f.u.
Total energy = -34.14 eV/cell
Polymorph energy (0 for the lowest one) = 0.0 meV/atom



(16)
Below is a geometry-optimized Hf5Zr3H12 structure, with properties calculated at the PBE-GGA level.

Lattice parameters (Å, degrees): 10.2571 10.2571 10.2571 109.47 109.47 109.47
Element x y z (fractional)
1 Zr 0.7500 0.3750 0.1250
2 Zr 0.8750 0.7500 0.1250
3 Zr 0.3750 0.7500 0.6250
4 Zr 0.2500 0.1250 0.3750
5 Zr 0.8750 0.1250 0.2500
6 Zr 0.3750 0.6250 0.2500
7 Zr 0.6250 0.3750 0.7500
8 Zr 0.1250 0.8750 0.7500
9 Zr 0.7500 0.8750 0.6250
10 Zr 0.6250 0.2500 0.3750
11 Zr 0.1250 0.2500 0.8750
12 Zr 0.2500 0.6250 0.8750
13 Hf 0.1250 0.3750 0.2500
14 Hf 0.0000 0.5000 0.0000
15 Hf 0.0000 0.0000 0.0000
16 Hf 0.3750 0.2500 0.1250
17 Hf 0.5000 0.0000 0.5000
18 Hf 0.5000 0.5000 0.0000
19 Hf 0.1250 0.7500 0.3750
20 Hf 0.7500 0.1250 0.8750
21 Hf 0.7500 0.6250 0.3750
22 Hf 0.3750 0.1250 0.7500
23 Hf 0.6250 0.8750 0.2500
24 Hf 0.5000 0.5000 0.5000
25 Hf 0.5000 0.0000 0.0000
26 Hf 0.0000 0.0000 0.5000
27 Hf 0.2500 0.3750 0.6250
28 Hf 0.2500 0.8750 0.1250
29 Hf 0.0000 0.5000 0.5000
30 Hf 0.8750 0.2500 0.6250
31 Hf 0.6250 0.7500 0.8750
32 Hf 0.8750 0.6250 0.7500
33 H 0.7243 0.1494 0.0662
34 H 0.3420 0.5662 0.4168
35 H 0.9338 0.3506 0.2757
36 H 0.5662 0.2243 0.1494
37 H 0.5748 0.7243 0.6580
38 H 0.9338 0.5832 0.1580
39 H 0.3420 0.7757 0.4252
40 H 0.0832 0.9252 0.1494
41 H 0.5832 0.9338 0.6580
42 H 0.7243 0.5748 0.1580
43 H 0.7757 0.4338 0.3506
44 H 0.8420 0.9168 0.0662
45 H 0.1494 0.7243 0.5662
46 H 0.3506 0.4168 0.0748
47 H 0.0748 0.9168 0.3506
48 H 0.4252 0.1494 0.5832
49 H 0.0748 0.1580 0.2243
50 H 0.4338 0.6580 0.0832
51 H 0.8420 0.9252 0.2757
52 H 0.1494 0.4252 0.0832
53 H 0.3506 0.9338 0.7757
54 H 0.5832 0.6494 0.4252
55 H 0.9168 0.8420 0.5662
56 H 0.7757 0.3420 0.9252
57 H 0.4168 0.3506 0.5748
58 H 0.0832 0.1580 0.4338
59 H 0.2243 0.6580 0.0748
60 H 0.1580 0.0748 0.7243
61 H 0.6494 0.0662 0.2243
62 H 0.8506 0.5748 0.9168
63 H 0.5662 0.3420 0.9168
64 H 0.5748 0.8506 0.4168
65 H 0.9252 0.8420 0.7757
66 H 0.9252 0.0832 0.6494
67 H 0.8506 0.2757 0.4338
68 H 0.1580 0.0832 0.9338
69 H 0.6494 0.5832 0.9252
70 H 0.4168 0.0662 0.3420
71 H 0.2757 0.4252 0.8420
72 H 0.2243 0.5662 0.6494
73 H 0.9168 0.0748 0.8506
74 H 0.6580 0.2243 0.5748
75 H 0.4338 0.7757 0.8506
76 H 0.0662 0.4168 0.8420
77 H 0.4252 0.2757 0.3420
78 H 0.0662 0.6494 0.7243
79 H 0.6580 0.4338 0.5832
80 H 0.2757 0.8506 0.9338

## Properties
Total moment = 0.00 μB/f.u.
Total energy = -498.07 eV/cell



(17)
Below is a geometry-optimized Hf2ZrH2 structure, with properties calculated at the PBE-GGA level.

Lattice parameters (Å, degrees): 3.1914 3.1914 7.5388 77.78 77.78 90.00
Element x y z (fractional)
1 H 0.7500 0.2500 0.5000
2 H 0.2500 0.7500 0.5000
3 Hf 0.3437 0.3437 0.3125
4 Hf 0.6563 0.6563 0.6875
5 Zr 0.0000 0.0000 0.0000

## Properties
Total moment = 0.00 μB/f.u.
Total energy = -36.49 eV/cell
Polymorph energy (0 for the lowest one) = 0.0 meV/atom



(18)
Below is a geometry-optimized Hf3ZrH7 structure, with properties calculated at the PBE-GGA level.

Lattice parameters (Å, degrees): 5.4661 5.4661 7.0138 90.00 90.00 98.83
Element x y z (fractional)
1 Hf 0.0047 0.4978 0.7500
2 Hf 0.0000 0.0000 0.0000
3 Hf 0.0000 0.0000 0.5000
4 Hf 0.5022 0.9953 0.2500
5 Hf 0.4978 0.0047 0.7500
6 Hf 0.9953 0.5022 0.2500
7 Zr 0.5000 0.5000 0.0000
8 Zr 0.5000 0.5000 0.5000
9 H 0.1284 0.8712 0.2500
10 H 0.1288 0.8716 0.7500
11 H 0.1208 0.3715 0.4964
12 H 0.1208 0.3715 0.0036
13 H 0.6285 0.8792 0.9964
14 H 0.6285 0.8792 0.5036
15 H 0.3580 0.3580 0.7500
16 H 0.6420 0.6420 0.2500
17 H 0.3715 0.1208 0.0036
18 H 0.3715 0.1208 0.4964
19 H 0.8792 0.6285 0.9964
20 H 0.8792 0.6285 0.5036
21 H 0.8712 0.1284 0.2500
22 H 0.8716 0.1288 0.7500

## Properties
Total moment = 0.00 μB/f.u.
Total energy = -133.90 eV/cell



(19)
Below is a geometry-optimized Hf3Zr3H8 structure, with properties calculated at the PBE-GGA level.

Lattice parameters (Å, degrees): 6.0764 6.0764 6.0764 60.08 60.08 60.08
Element x y z (fractional)
1 Hf 0.5000 0.0000 0.0000
2 Hf 0.0000 0.5000 0.0000
3 Hf 0.0000 0.0000 0.5000
4 Zr 0.3744 0.3744 0.3744
5 Zr 0.6256 0.6256 0.6256
6 Zr 0.0000 0.0000 0.0000
7 H 0.7656 0.7656 0.7656
8 H 0.2070 0.7615 0.7615
9 H 0.7615 0.2070 0.7615
10 H 0.7615 0.7615 0.2070
11 H 0.2344 0.2344 0.2344
12 H 0.7930 0.2385 0.2385
13 H 0.2385 0.7930 0.2385
14 H 0.2385 0.2385 0.7930

## Properties
Total moment = 0.00 μB/f.u.
Total energy = -88.06 eV/cell